Density functional theory data (meta-GGA SCAN) for a PBEsol-optimized structure of GaCu2RhF.

Cell: 4.4020 4.4020 4.5224 Å, 90.00 90.00 90.00°
With the nearest neighbours (Å) after each atom.
Atoms (fractional coordinates):
1 Cu 0.5000 0.0000 0.0000  2 Ga 2.20
2 Cu 0.0000 0.5000 0.0000  2 Ga 2.20
3 Rh 0.0000 0.0000 0.5000  2 Ga 2.26
4 F 0.5000 0.5000 0.5000  4 Rh 3.11, 8 Cu 3.16
5 Ga 0.0000 0.0000 0.0000  4 Cu 2.20, 2 Rh 2.26

The uncorrected formation energy is 593 meV per atom. Its crystal system is tetragonal. Its theoretical density is 6.04 g/cm³.



Density functional theory data (meta-GGA SCAN) for a PBEsol-optimized structure of LaMnTl.

Cell: 5.0542 5.0542 5.0542 Å, 60.00 60.00 60.00°
With the nearest neighbours (Å) after each atom.
Atoms (fractional coordinates):
1 La 0.7500 0.7500 0.7500  4 Tl 3.10, 4 Mn 3.10
2 Mn 0.0000 0.0000 0.0000  4 La 3.10
3 Tl 0.5000 0.5000 0.5000  4 La 3.10

The formation enthalpy at 0 K is 278 meV per atom. Its crystal system is cubic. Its theoretical density is 7.24 g/cm³.